Record 1
A plane-wave DFT calculation with PBE was carried out for a relaxed LiCeAl crystal.

a = 3.0188 Å, b = 3.0188 Å, c = 7.0146 Å
α = 102.43°, β = 102.43°, γ = 90.00°
Last column: nearest neighbours and their distance in Å.
Positions (direct):
Al (0.6814, 0.6814, 0.3628)  4 Li 2.74, 4 Al 3.02
Ce (0.0085, 0.0085, 0.0171)  4 Ce 3.02, 4 Al 3.15
Li (0.3101, 0.3101, 0.6201)  4 Al 2.74, 4 Li 3.02

Calculated values
ΔH_f (0 K) = -0.3 eV per formula unit
total moment = 0.000 μB per formula unit
E_tot = -3.9649 eV per atom



Record 2
A plane-wave DFT calculation with PBE was carried out for a relaxed LiCe2Al crystal.

a = 5.1696 Å, b = 5.1696 Å, c = 5.1696 Å
α = 60.00°, β = 60.00°, γ = 60.00°
Last column: nearest neighbours and their distance in Å.
Positions (direct):
Ce (0.5000, 0.5000, 0.5000)  4 Li 3.17, 4 Al 3.17
Li (0.7500, 0.7500, 0.7500)  8 Ce 3.17
Al (0.2500, 0.2500, 0.2500)  8 Ce 3.17
Ce (0.0000, 0.0000, 0.0000)  4 Li 3.17, 4 Al 3.17

Calculated values
ΔH_f (0 K) = -0.1 eV per formula unit
total moment = 0.000 μB per formula unit
E_tot = -4.4137 eV per atom



Record 3
A plane-wave DFT calculation with PBE was carried out for a relaxed LiCe2Al7 crystal.

a = 4.2712 Å, b = 4.2712 Å, c = 11.2148 Å
α = 90.00°, β = 90.00°, γ = 90.00°
Last column: nearest neighbours and their distance in Å.
Positions (direct):
Al (0.0000, 0.5000, 0.8649)  3 Al 2.52-2.62, 2 Li 2.62
Li (0.5000, 0.5000, 0.0000)  4 Al 2.62
Al (0.0000, 0.0000, 0.0000)  4 Al 2.62
Al (0.5000, 0.5000, 0.5000)  4 Al 2.65
Al (0.5000, 0.0000, 0.3596)  5 Al 2.52-2.65
Ce (0.0000, 0.5000, 0.2564)  14 Al 3.23-3.58, 2 Li 3.58
Al (0.0000, 0.5000, 0.6404)  5 Al 2.52-2.65
Al (0.5000, 0.0000, 0.1351)  3 Al 2.52-2.62, 2 Li 2.62
Ce (0.5000, 0.0000, 0.7436)  14 Al 3.23-3.58, 2 Li 3.58
Al (0.0000, 0.0000, 0.5000)  4 Al 2.65

Calculated values
ΔH_f (0 K) = -2.9 eV per formula unit
total moment = 2.051 μB per formula unit
E_tot = -4.2899 eV per atom